First-principles (PBE) data for a geometry-optimized Na3YHf structure, as listed in Alexandria.

Cell and atoms, written as extended XYZ:
```
5
Lattice="-3.1031 2.3521 4.1540 -4.6107 -0.1930 -3.3349 -1.2369 -5.1815 2.0099" Properties=species:S:1:pos:R:3 pbc="T T T"
Na -0.6184 -2.5907 1.0050
Hf 0.0000 0.0000 0.0000
Na -2.3053 -0.0965 -1.6675
Na -1.5516 1.1761 2.0770
Y -4.4753 -1.5112 1.4145
```

Summary:
Its distance to the lowest polymorph of the same formula is 0.00 eV per formula unit. Its electronic total energy is -13.28 eV for the cell shown. The formation energy is 1418 meV per atom.